1.
First-principles (GGA-PBE) data for crystalline PmSm2Er8 at its relaxed geometry, as listed in Alexandria via LeMat-Bulk.

a b c (Å): 5.521 10.074 10.074
angles (deg): 40.34 92.67 92.67
Fractional coordinates of all 11 atoms:
Pm 0.000 0.000 0.000
Sm 0.750 0.284 0.284
Sm 0.250 0.716 0.716
Er 0.268 0.135 0.603
Er 0.268 0.603 0.135
Er 0.732 0.865 0.397
Er 0.238 0.546 0.546
Er 0.732 0.397 0.865
Er 0.233 0.187 0.187
Er 0.767 0.813 0.813
Er 0.762 0.454 0.454

Calculated volume   362.2 Å³ per cell
Space group   C2/m, No. 12
Total moment   0.00 μB/f.u.
Distance to the lowest polymorph of the same formula   0.043 eV per atom
E_tot   -4.4515 eV per atom
Formation energy from the elements   157 meV per atom
N(E_F)   17.9 states/eV/f.u.

=====

2.
First-principles (GGA-PBE) data for crystalline CdAs4Rh at its relaxed geometry, as listed in Alexandria via LeMat-Bulk.

a b c (Å): 5.502 5.502 5.502
angles (deg): 60.00 60.00 60.00
Fractional coordinates of all 6 atoms:
Cd 0.750 0.750 0.750
As 0.871 0.376 0.376
As 0.376 0.376 0.871
As 0.376 0.871 0.376
As 0.376 0.376 0.376
Rh 0.000 0.000 0.000

Calculated volume   117.8 Å³ per cell
Space group   F-43m, No. 216
Total moment   0.00 μB/f.u.
E_tot   -3.9527 eV per atom
Formation energy from the elements   525 meV per atom
N(E_F)   5.1 states/eV/f.u.

=====

3.
First-principles (GGA-PBE) data for crystalline CsCoRuCl6 at its relaxed geometry, as listed in Alexandria via LeMat-Bulk.

a b c (Å): 6.359 6.359 7.781
angles (deg): 90.02 90.00 59.99
Each line ends with the local moment (μB).
Fractional coordinates of all 9 atoms:
Cs 0.000 0.000 0.000  0.01
Co 0.667 0.667 0.500  2.47
Ru 0.333 0.333 0.500  0.76
Cl 0.007 0.375 0.327  0.09
Cl 0.375 0.007 0.673  0.09
Cl 0.618 0.375 0.673  0.09
Cl 0.007 0.618 0.673  0.09
Cl 0.375 0.618 0.327  0.09
Cl 0.618 0.006 0.327  0.09

Calculated volume   272.4 Å³ per cell
Space group   P312, No. 149
Total moment   4.02 μB/f.u.
E_tot   -4.0069 eV per atom
Uncorrected formation energy   -7.75 eV/f.u.
N(E_F)   7.3 states/eV/f.u.

=====

4.
First-principles (GGA-PBE) data for crystalline ScTa2Ag at its relaxed geometry, as listed in Alexandria via LeMat-Bulk.

a b c (Å): 2.906 2.906 9.252
angles (deg): 90.00 90.00 103.15
Fractional coordinates of all 4 atoms:
Ag 0.000 0.000 0.495
Sc 0.500 0.500 0.750
Ta 0.000 0.000 0.009
Ta 0.500 0.500 0.247

Calculated volume   76.1 Å³ per cell
Space group   Cmm2, No. 35
Total moment   0.00 μB/f.u.
Distance to the lowest polymorph of the same formula   0.000 eV per atom
E_tot   -8.1228 eV per atom
Formation energy from the elements   99 meV per atom
N(E_F)   4.6 states/eV/f.u.

=====

5.
First-principles (GGA-PBE) data for crystalline GaSiMo2Os at its relaxed geometry, as listed in Alexandria via LeMat-Bulk.

a b c (Å): 4.475 4.360 4.475
angles (deg): 90.00 90.00 90.00
Each line ends with the local moment (μB).
Fractional coordinates of all 5 atoms:
Mo 0.000 0.000 0.500  0.24
Mo 0.500 0.000 0.000  0.13
Os 0.500 0.500 0.500  1.01
Si 0.000 0.000 0.000  0.01
Ga 0.000 0.500 0.000  -0.01

Calculated volume   87.3 Å³ per cell
Space group   P4/mmm, No. 123
Total moment   1.54 μB/f.u.
E_tot   -6.8713 eV per atom
Uncorrected formation energy   6.99 eV/f.u.
N(E_F)   7.6 states/eV/f.u.

=====

6.
First-principles (GGA-PBE) data for crystalline AcIn6Pd2 at its relaxed geometry, as listed in Alexandria via LeMat-Bulk.

a b c (Å): 9.164 9.164 9.164
angles (deg): 60.00 60.00 60.00
Fractional coordinates of all 18 atoms:
Ac 0.500 0.500 0.500
Ac 0.750 0.750 0.750
In 0.234 0.234 0.766
In 0.766 0.766 0.234
In 0.234 0.766 0.234
In 0.234 0.766 0.766
In 0.484 0.484 0.016
In 0.484 0.016 0.016
In 0.766 0.234 0.766
In 0.016 0.016 0.484
In 0.484 0.016 0.484
In 0.016 0.484 0.484
In 0.766 0.234 0.234
In 0.016 0.484 0.016
Pd 0.125 0.125 0.125
Pd 0.125 0.625 0.125
Pd 0.125 0.125 0.625
Pd 0.625 0.125 0.125

Calculated volume   544.3 Å³ per cell
Space group   Fd-3m, No. 227
Total moment   0.00 μB/f.u.
E_tot   -3.5296 eV per atom
Formation energy from the elements   -94 meV per atom
N(E_F)   5.1 states/eV/f.u.

=====

7.
First-principles (GGA-PBE) data for crystalline HoZr3Ru4 at its relaxed geometry, as listed in Alexandria via LeMat-Bulk.

a b c (Å): 4.663 4.663 8.113
angles (deg): 73.30 73.30 60.00
Fractional coordinates of all 8 atoms:
Ru 0.872 0.872 0.383
Ru 0.378 0.378 0.866
Ru 0.128 0.128 0.617
Ru 0.622 0.622 0.134
Ho 0.000 0.000 0.000
Zr 0.249 0.249 0.252
Zr 0.751 0.751 0.748
Zr 0.500 0.500 0.500

Calculated volume   144.1 Å³ per cell
Space group   R-3m, No. 166
Total moment   0.00 μB/f.u.
E_tot   -9.0146 eV per atom
Formation energy from the elements   -599 meV per atom
N(E_F)   1.4 states/eV/f.u.

=====

8.
First-principles (GGA-PBE) data for crystalline HfNiB2Pd at its relaxed geometry, as listed in Alexandria via LeMat-Bulk.

a b c (Å): 3.821 4.876 3.821
angles (deg): 90.00 90.00 90.00
Fractional coordinates of all 5 atoms:
Ni 0.000 0.000 0.000
B 0.000 0.000 0.500
B 0.500 0.000 0.000
Hf 0.000 0.500 0.000
Pd 0.500 0.500 0.500

Calculated volume   71.2 Å³ per cell
Space group   P4/mmm, No. 123
Total moment   0.00 μB/f.u.
E_tot   -6.3464 eV per atom
Formation energy from the elements   510 meV per atom
N(E_F)   3.0 states/eV/f.u.

=====

9.
First-principles (GGA-PBE) data for crystalline BiB2Sb at its relaxed geometry, as listed in Alexandria via LeMat-Bulk.

a b c (Å): 5.408 5.408 6.618
angles (deg): 65.88 65.88 90.00
Fractional coordinates of all 8 atoms:
Sb 0.500 0.500 0.000
Sb 0.250 0.750 0.500
B 0.608 0.125 0.250
B 0.142 0.625 0.250
B 0.375 0.392 0.750
B 0.875 0.858 0.750
Bi 0.000 0.000 0.000
Bi 0.750 0.250 0.500

Calculated volume   158.0 Å³ per cell
Space group   I-42d, No. 122
Total moment   0.00 μB/f.u.
Distance to the lowest polymorph of the same formula   0.000 eV per atom
E_tot   -4.7454 eV per atom
Uncorrected formation energy   2.38 eV/f.u.
N(E_F)   0.0 states/eV/f.u.

=====

10.
First-principles (GGA-PBE) data for crystalline GaSiPt2 at its relaxed geometry, as listed in Alexandria via LeMat-Bulk.

a b c (Å): 5.581 5.581 6.732
angles (deg): 65.51 65.51 90.00
Fractional coordinates of all 8 atoms:
Si 0.500 0.500 0.000
Si 0.250 0.750 0.500
Ga 0.000 0.000 0.000
Ga 0.750 0.250 0.500
Pt 0.602 0.125 0.250
Pt 0.148 0.625 0.250
Pt 0.375 0.398 0.750
Pt 0.875 0.852 0.750

Calculated volume   169.9 Å³ per cell
Space group   I-42d, No. 122
Total moment   0.00 μB/f.u.
E_tot   -5.4782 eV per atom
Uncorrected formation energy   -1.38 eV/f.u.
N(E_F)   1.3 states/eV/f.u.

=====

11.
First-principles (GGA-PBE) data for crystalline LaGaAs2Br at its relaxed geometry, as listed in Alexandria via LeMat-Bulk.

a b c (Å): 4.927 4.927 5.311
angles (deg): 90.00 90.00 90.00
Fractional coordinates of all 5 atoms:
As 0.000 0.500 0.000
As 0.500 0.000 0.000
Ga 0.000 0.000 0.000
Br 0.000 0.000 0.500
La 0.500 0.500 0.500

Calculated volume   128.9 Å³ per cell
Space group   P4/mmm, No. 123
Total moment   0.00 μB/f.u.
Distance to the lowest polymorph of the same formula   0.000 eV per atom
E_tot   -4.2369 eV per atom
Uncorrected formation energy   -2.26 eV/f.u.
N(E_F)   3.2 states/eV/f.u.

=====

12.
First-principles (GGA-PBE) data for crystalline La3PrAu at its relaxed geometry, as listed in Alexandria via LeMat-Bulk.

a b c (Å): 5.216 8.970 7.245
angles (deg): 90.00 90.00 106.90
Fractional coordinates of all 10 atoms:
La 0.107 0.713 0.489
La 0.893 0.287 0.511
La 0.107 0.713 0.011
La 0.893 0.287 0.989
La 0.283 0.067 0.750
La 0.717 0.933 0.250
Pr 0.515 0.528 0.750
Pr 0.485 0.472 0.250
Au 0.694 0.890 0.750
Au 0.306 0.110 0.250

Calculated volume   324.4 Å³ per cell
Space group   P2_1/m, No. 11
Total moment   0.00 μB/f.u.
E_tot   -4.8228 eV per atom
Formation energy from the elements   -255 meV per atom
N(E_F)   6.6 states/eV/f.u.